Compound: HgAs2F6
Source: the Alexandria database
Functional: PBE
Structure: relaxed

```
HgAs2F6
1.0
6.6524 -6.8935 0.0000
6.6524 6.8935 0.0000
-1.0627 0.0000 4.6412
Hg As F
2 4 12
Direct
0.0937 0.9063 0.7500
0.9063 0.0937 0.2500
0.2062 0.4731 0.0593
0.4731 0.2062 0.5593
0.5269 0.7938 0.4407
0.7938 0.5269 0.9407
0.0800 0.5412 0.2745
0.1490 0.2949 0.0293
0.2949 0.1490 0.5293
0.3365 0.4716 0.3697
0.4588 0.9200 0.2255
0.4716 0.3365 0.8697
0.5284 0.6635 0.1303
0.5412 0.0800 0.7745
0.6635 0.5284 0.6303
0.7051 0.8510 0.4707
0.8510 0.7051 0.9707
0.9200 0.4588 0.7255
```

Values from the calculation:
excess energy over the best structure of this formula in the dataset = 0.000 eV/atom
crystal system = monoclinic
raw formation energy = -1877.3 meV per atom
symmetry = C2/c, No. 15
magnetization = 0.00 μB/f.u.
calculated total energy = -4.19 eV per atom


Compound: HgAsF2
Source: the Alexandria database
Functional: PBE
Structure: relaxed

```
HgAsF2
1.0
1.5072 0.8702 8.8453
-1.5072 0.8702 8.8453
0.0000 -1.7403 8.8453
Hg As F
1 1 2
Direct
0.0000 0.0000 0.0000
0.5000 0.5000 0.5000
0.4288 0.4288 0.4288
0.5712 0.5712 0.5712
```

Values from the calculation:
excess energy over the best structure of this formula in the dataset = 0.000 eV/atom
crystal system = trigonal
raw formation energy = -1136.8 meV per atom
symmetry = R-3m, No. 166
magnetization = 0.00 μB/f.u.
calculated total energy = -3.31 eV per atom


Compound: HgAsF3
Source: the Alexandria database
Functional: PBE
Structure: relaxed

```
HgAsF3
1.0
4.5670 0.0000 0.0000
0.0000 4.5670 0.0000
0.0000 0.0000 4.5670
Hg As F
1 1 3
Direct
0.0000 0.0000 0.0000
0.5000 0.5000 0.5000
0.0000 0.0000 0.5000
0.0000 0.5000 0.0000
0.5000 0.0000 0.0000
```

Values from the calculation:
excess energy over the best structure of this formula in the dataset = 0.702 eV/atom
crystal system = cubic
raw formation energy = -605.8 meV per atom
symmetry = Pm-3m, No. 221
magnetization = 2.00 μB/f.u.
calculated total energy = -2.72 eV per atom


Look up the raw formation energy of the third one.
-605.8 meV per atom